Material: RbPuCl2F6
Method: DFT, PBE-GGA
State: relaxed

Calculated values
Energy relative to the elements, uncorrected   -22.9 eV per formula unit

Cell and atoms, written as CIF:
```
data_RbPuCl2F6
_chemical_formula_sum 'Rb1 Pu1 Cl2 F6'
_cell_length_a 5.7671
_cell_length_b 5.7671
_cell_length_c 8.3402
_cell_angle_alpha 90.00
_cell_angle_beta 90.00
_cell_angle_gamma 120.00
_space_group_name_H-M_alt 'P -3 m 1'
_space_group_IT_number 164
_space_group_name_Hall '-P 3 2"'
loop_
_atom_site_label
_atom_site_fract_x
_atom_site_fract_y
_atom_site_fract_z
Rb1 0.0000 0.0000 0.0000
Pu1 0.0000 0.0000 0.5000
Cl1 0.3333 0.6667 0.9822
F1 0.1613 0.3226 0.3535
```

***

Material: ScHPd3
Method: DFT, PBE-GGA
State: relaxed

Calculated values
Offset from the most stable computed form   1651 meV/atom

Cell and atoms, written as CIF:
```
data_ScHPd3
_chemical_formula_sum 'Sc1 H1 Pd3'
_cell_length_a 4.811
_cell_length_b 4.811
_cell_length_c 4.811
_cell_angle_alpha 90.00
_cell_angle_beta 90.00
_cell_angle_gamma 90.00
_space_group_name_H-M_alt 'P m -3 m'
_space_group_IT_number 221
_space_group_name_Hall '-P 4 2 3'
loop_
_atom_site_label
_atom_site_fract_x
_atom_site_fract_y
_atom_site_fract_z
Sc1 0.000 0.000 0.000
H1 0.500 0.500 0.500
Pd1 0.000 0.000 0.500
```